{"formula": "PrMgAl2Zn4", "functional": "GGA-PBE", "state": "relaxed", "cell": [[2.222, 1.283, 8.809], [-2.222, 1.283, 8.809], [0.000, -2.565, 8.809]], "species": ["Pr", "Mg", "Al", "Al", "Zn", "Zn", "Zn", "Zn"], "frac_coords": [[0.000, 0.000, 0.000], [0.500, 0.500, 0.500], [0.243, 0.243, 0.243], [0.757, 0.757, 0.757], [0.126, 0.126, 0.126], [0.397, 0.397, 0.397], [0.603, 0.603, 0.603], [0.874, 0.874, 0.874]], "crystal_system": "trigonal", "total_magnetization_mub_per_atom": 0.000, "formation_enthalpy_0k_kj_per_mol_atoms": -17.5}

***

{"formula": "MgAl5Pt6", "functional": "GGA-PBE", "state": "relaxed", "cell": [[6.493, -3.350, 0.000], [6.493, 3.350, 0.000], [-1.067, 0.000, 4.116]], "species": ["Mg", "Al", "Al", "Al", "Al", "Al", "Pt", "Pt", "Pt", "Pt", "Pt", "Pt"], "frac_coords": [[0.000, 0.000, 0.000], [0.159, 0.159, 0.653], [0.327, 0.327, 0.322], [0.500, 0.500, 0.000], [0.673, 0.673, 0.678], [0.841, 0.841, 0.347], [0.096, 0.563, 0.824], [0.271, 0.729, 0.500], [0.437, 0.904, 0.176], [0.563, 0.096, 0.824], [0.729, 0.271, 0.500], [0.904, 0.437, 0.176]], "crystal_system": "monoclinic", "total_magnetization_mub_per_atom": 0.000, "formation_enthalpy_0k_kj_per_mol_atoms": -93.1}

***

{"formula": "MgAl2Pt", "functional": "GGA-PBE", "state": "relaxed", "cell": [[2.911, 0.000, 0.000], [0.000, 2.911, 0.000], [0.000, 0.000, 7.884]], "species": ["Mg", "Al", "Al", "Pt"], "frac_coords": [[0.000, 0.000, 0.000], [0.000, 0.000, 0.451], [0.500, 0.500, 0.709], [0.500, 0.500, 0.244]], "crystal_system": "tetragonal", "total_magnetization_mub_per_atom": 0.000, "formation_enthalpy_0k_kj_per_mol_atoms": -45.6}